Computed, not measured: a relaxed Ca2Hg5Au crystal at the PBE level of DFT.

a = 3.7136 Å, b = 21.3504 Å, c = 10.4093 Å
α = 90.00°, β = 90.00°, γ = 90.00°
With the nearest neighbours (Å) after each atom.
Space group Cmcm (No. 63)
One atom of each set of equivalent atoms:
Ca1 0.0000 0.0000 0.0000 x4  8 Hg 3.26-3.61, 4 Au 3.41
Ca2 0.0000 0.1702 0.2500 x4  2 Au 3.08, 8 Hg 3.25-3.30
Hg1 0.0000 0.2216 0.6104 x8  5 Hg 2.91-3.19
Hg2 0.0000 0.3747 0.5108 x8  3 Hg 2.89-3.04, 1 Au 2.91
Hg3 0.0000 0.4215 0.2500 x4  1 Au 2.85, 2 Hg 2.89
Au1 0.0000 0.4449 0.7500 x4  3 Hg 2.85-2.91, 2 Ca 3.08

Total magnetization (μB per cell): 0.00
Energy above the lowest structure with this stoichiometry (meV/atom): 22.0